Record 1
The following is a PBE calculation of crystalline PuGe2W at its relaxed geometry, from the Alexandria database.

a b c (Å): 2.9543 2.9543 30.4751
angles (deg): 90.00 90.00 120.00
Last column: nearest neighbours and their distance in Å.
Space group R-3m (No. 166, hexagonal axes)
Asymmetric unit:
Pu: 0.0000 0.0000 0.0000 [3 per cell]  6 Pu 2.95, 2 Ge 2.96
Ge: 0.0000 0.0000 0.0972 [6 per cell]  3 W 2.72, 6 Ge 2.95, 1 Pu 2.96
W: 0.0000 0.0000 0.5000 [3 per cell]  6 Ge 2.72, 6 W 2.95

Computed properties:
Uncorrected energy in eV per atom: -8.83
Energy above the lowest structure with this stoichiometry in eV per atom: 0.343
Total moment in μB per formula unit: 4.84



Record 2
The following is a PBE calculation of crystalline AcMg2Ni2 at its relaxed geometry, from the Alexandria database.

a b c (Å): 10.4584 4.0932 5.2415
angles (deg): 90.00 104.10 90.00
Last column: nearest neighbours and their distance in Å.
Space group C2/m (No. 12)
Asymmetric unit:
Ac: 0.0000 0.0000 0.0000 [2 per cell]  6 Ni 3.06-3.07
Mg: 0.1616 0.5000 0.5802 [4 per cell]  4 Ni 2.67-2.72
Ni: 0.2251 0.5000 0.1062 [4 per cell]  2 Ni 2.45, 4 Mg 2.67-2.72

Computed properties:
Uncorrected energy in eV per atom: -4.00
Energy above the lowest structure with this stoichiometry in eV per atom: 0.000
Total moment in μB per formula unit: 0.00



Record 3
The following is a PBE calculation of crystalline LaMgSiHg at its relaxed geometry, from the Alexandria database.

a b c (Å): 7.2639 7.2639 7.2639
angles (deg): 90.00 90.00 90.00
Last column: nearest neighbours and their distance in Å.
Space group F-43m (No. 216)
Asymmetric unit:
La: 0.0000 0.0000 0.0000 [4 per cell]  4 Hg 3.15, 4 Si 3.15
Mg: 0.0000 0.0000 0.5000 [4 per cell]  4 Hg 3.15, 4 Si 3.15
Si: 0.2500 0.2500 0.2500 [4 per cell]  4 La 3.15, 4 Mg 3.15
Hg: 0.2500 0.2500 0.7500 [4 per cell]  4 La 3.15, 4 Mg 3.15

Computed properties:
Uncorrected energy in eV per atom: -3.39
Total moment in μB per formula unit: 0.00



Record 4
The following is a PBE calculation of crystalline KRbSBr at its relaxed geometry, from the Alexandria database.

a b c (Å): 8.0970 8.0970 8.0970
angles (deg): 90.00 90.00 90.00
Last column: nearest neighbours and their distance in Å.
Space group F-43m (No. 216)
Asymmetric unit:
K: 0.0000 0.0000 0.0000 [4 per cell]  4 S 3.51, 4 Br 3.51
Rb: 0.0000 0.0000 0.5000 [4 per cell]  4 Br 3.51, 4 S 3.51
S: 0.2500 0.2500 0.2500 [4 per cell]  4 Rb 3.51, 4 K 3.51
Br: 0.2500 0.2500 0.7500 [4 per cell]  4 K 3.51, 4 Rb 3.51

Computed properties:
Uncorrected energy in eV per atom: -2.94
Total moment in μB per formula unit: 1.00



Record 5
The following is a PBE calculation of crystalline Cs2KCdSn at its relaxed geometry, from the Alexandria database.

a b c (Å): 7.4211 7.4211 5.4984
angles (deg): 90.00 90.00 90.00
Last column: nearest neighbours and their distance in Å.
Space group P4/mmm (No. 123)
Asymmetric unit:
Cs: 0.0000 0.5000 0.0000 [2 per cell]  2 Cd 3.71
K: 0.0000 0.0000 0.5000 [1 per cell]  8 Cs 4.62
Cd: 0.5000 0.5000 0.0000 [1 per cell]  2 Sn 2.75
Sn: 0.5000 0.5000 0.5000 [1 per cell]  2 Cd 2.75

Computed properties:
Uncorrected energy in eV per atom: -1.51
Energy above the lowest structure with this stoichiometry in eV per atom: 0.000
Total moment in μB per formula unit: 0.43



Record 6
The following is a PBE calculation of crystalline PIrRu2 at its relaxed geometry, from the Alexandria database.

a b c (Å): 2.7906 4.8166 8.4773
angles (deg): 90.00 90.00 90.00
Last column: nearest neighbours and their distance in Å.
Space group Cmm2 (No. 35)
Asymmetric unit:
P: 0.0000 0.0000 0.0000 [2 per cell]  2 Ru 2.31, 2 Ir 2.39
Ir: 0.0000 0.5000 0.7704 [2 per cell]  2 P 2.39
Ru: 0.0000 0.0000 0.4909 [2 per cell]  8 Ru 2.71-2.79, 2 Ir 2.75
Ru: 0.0000 0.5000 0.2171 [2 per cell]  2 P 2.31

Computed properties:
Uncorrected energy in eV per atom: -7.86
Total moment in μB per formula unit: 0.70



Record 7
The following is a PBE calculation of crystalline TaSeBr2 at its relaxed geometry, from the Alexandria database.

a b c (Å): 3.3004 3.3004 35.8331
angles (deg): 90.00 90.00 120.00
Last column: nearest neighbours and their distance in Å.
Space group R-3m (No. 166, hexagonal axes)
Asymmetric unit:
Ta: 0.0000 0.0000 0.0000 [3 per cell]  2 Br 2.40
Se: 0.0000 0.0000 0.5000 [3 per cell]  6 Se 3.30
Br: 0.0000 0.0000 0.0670 [6 per cell]  1 Ta 2.40

Computed properties:
Uncorrected energy in eV per atom: -4.32
Energy above the lowest structure with this stoichiometry in eV per atom: 1.023
Total moment in μB per formula unit: 0.01



Record 8
The following is a PBE calculation of crystalline Ce3UO7 at its relaxed geometry, from the Alexandria database.

a b c (Å): 7.7763 11.0809 7.8854
angles (deg): 90.00 90.00 90.00
Last column: nearest neighbours and their distance in Å.
Space group Cmcm (No. 63)
Asymmetric unit:
Ce: 0.0000 0.0000 0.0000 [4 per cell]  8 O 2.45-2.62
Ce: 0.2360 0.2612 0.2500 [8 per cell]  7 O 2.31-2.52
U: 0.0000 0.5000 0.0000 [4 per cell]  6 O 2.18-2.23
O: 0.0000 0.1315 0.7500 [4 per cell]  4 Ce 2.37-2.45
O: 0.0000 0.1339 0.2500 [4 per cell]  4 Ce 2.31-2.47
O: 0.0000 0.4058 0.2500 [4 per cell]  2 U 2.23, 2 Ce 2.44
O: 0.2150 0.3757 0.5256 [16 per cell]  1 U 2.18, 1 Ce 2.36

Computed properties:
Uncorrected energy in eV per atom: -9.20
Total moment in μB per formula unit: 4.02